(1)
Entry from Alexandria via LeMat-Bulk: a relaxed structure of RbTl2GaRh (PBE).

Cell: 5.410 5.410 4.941 Å, 90.00 90.00 90.00°
Atoms (fractional coordinates):
Tl1 0.000 0.500 0.000
Tl2 0.500 0.000 0.000
Rh1 0.000 0.000 0.000
Ga1 0.000 0.000 0.500
Rb1 0.500 0.500 0.500

- crystal system = tetragonal
- D(E_F) (states/eV/cell) = 3.61
- ΔE_f (eV/atom) = -0.11

=====

(2)
Entry from Alexandria via LeMat-Bulk: a relaxed structure of RbYGaRh2 (PBE).

Cell: 4.782 5.255 4.782 Å, 90.00 90.00 90.00°
Atoms (fractional coordinates):
Y1 0.500 0.500 0.500
Rh1 0.000 0.000 0.500
Rh2 0.500 0.000 0.000
Ga1 0.000 0.000 0.000
Rb1 0.000 0.500 0.000

- crystal system = tetragonal
- D(E_F) (states/eV/cell) = 2.70
- ΔE_f (eV/atom) = 0.49

=====

(3)
Entry from Alexandria via LeMat-Bulk: a relaxed structure of RbGaRu3 (PBE).

Cell: 4.858 4.858 4.858 Å, 90.00 90.00 90.00°
Atoms (fractional coordinates):
Ru1 0.000 0.500 0.000
Ru2 0.000 0.000 0.500
Ru3 0.500 0.000 0.000
Ga1 0.500 0.500 0.500
Rb1 0.000 0.000 0.000

- crystal system = cubic
- D(E_F) (states/eV/cell) = 5.89
- ΔE_f (eV/atom) = 2.90

=====

(4)
Entry from Alexandria via LeMat-Bulk: a relaxed structure of RbGaRu3 (PBE).

Cell: 4.821 4.821 4.821 Å, 90.00 90.00 90.00°
Atoms (fractional coordinates):
Ru1 0.000 0.500 0.000
Ru2 0.000 0.000 0.500
Ru3 0.500 0.000 0.000
Ga1 0.000 0.000 0.000
Rb1 0.500 0.500 0.500

- crystal system = cubic
- D(E_F) (states/eV/cell) = 8.17
- ΔE_f (eV/atom) = 1.45

=====

Question: Number 2 is which compound?
Answer: RbYGaRh2